# PBE KAg3Br6, relaxed
# Fermi-level density of states ... 2.89 states/eV/f.u.
# Uncorrected formation energy ... -53.00 kJ per mole of atoms
# Volume ... 314.08 Å³ per cell
# SG ... Cmmm, No. 65
data_KAg3Br6
_chemical_formula_sum 'K1 Ag3 Br6'
_cell_length_a 4.506
_cell_length_b 8.653
_cell_length_c 8.653
_cell_angle_alpha 111.40
_cell_angle_beta 90.00
_cell_angle_gamma 90.00
_space_group_name_H-M_alt 'P 1'
_space_group_IT_number 1
loop_
_space_group_symop_operation_xyz
'x,y,z'
loop_
_atom_site_label
_atom_site_type_symbol
_atom_site_fract_x
_atom_site_fract_y
_atom_site_fract_z
Br1 Br 0.000 0.316 0.065
Br2 Br 0.000 0.684 0.935
Br3 Br 0.000 0.065 0.316
Br4 Br 0.500 0.674 0.326
Br5 Br 0.000 0.935 0.684
Br6 Br 0.500 0.326 0.674
Ag1 Ag 0.000 0.000 0.000
Ag2 Ag 0.500 0.000 0.500
Ag3 Ag 0.500 0.500 0.000
K1 K 0.000 0.500 0.500